Computed, not measured: crystalline Dy2ErCu at its relaxed geometry at the GGA-PBE level of DFT.

a = 6.813 Å, b = 9.643 Å, c = 6.459 Å
α = 90.00°, β = 90.00°, γ = 90.00°
Element x y z (fractional)
Dy (0.193, 0.060, 0.187)
Dy (0.193, 0.440, 0.187)
Dy (0.307, 0.560, 0.687)
Dy (0.307, 0.940, 0.687)
Dy (0.693, 0.060, 0.313)
Dy (0.693, 0.440, 0.313)
Dy (0.807, 0.560, 0.813)
Dy (0.807, 0.940, 0.813)
Er (0.021, 0.250, 0.631)
Er (0.479, 0.750, 0.131)
Er (0.521, 0.250, 0.869)
Er (0.979, 0.750, 0.369)
Cu (0.094, 0.750, 0.952)
Cu (0.406, 0.250, 0.452)
Cu (0.594, 0.750, 0.548)
Cu (0.906, 0.250, 0.048)

- ΔE to the lowest computed polymorph: 0 meV per atom
- Energy of formation from the pure elements: -0.1100 eV per atom

=====

Computed, not measured: crystalline Dy2Er2Cu3 at its relaxed geometry at the GGA-PBE level of DFT.

a = 8.420 Å, b = 8.420 Å, c = 8.420 Å
α = 33.44°, β = 33.44°, γ = 33.44°
Element x y z (fractional)
Dy (0.125, 0.125, 0.125)
Dy (0.875, 0.875, 0.875)
Er (0.375, 0.375, 0.375)
Er (0.625, 0.625, 0.625)
Cu (0.000, 0.000, 0.000)
Cu (0.251, 0.251, 0.251)
Cu (0.749, 0.749, 0.749)

- Energy of formation from the pure elements: -0.1393 eV per atom

=====

Computed, not measured: crystalline Dy2ErCu at its relaxed geometry at the GGA-PBE level of DFT.

a = 4.884 Å, b = 11.475 Å, c = 7.549 Å
α = 90.00°, β = 90.00°, γ = 90.00°
Element x y z (fractional)
Dy (0.000, 0.147, 0.032)
Dy (0.000, 0.147, 0.468)
Dy (0.000, 0.853, 0.532)
Dy (0.000, 0.853, 0.968)
Dy (0.500, 0.353, 0.532)
Dy (0.500, 0.353, 0.968)
Dy (0.500, 0.647, 0.032)
Dy (0.500, 0.647, 0.468)
Er (0.000, 0.456, 0.250)
Er (0.000, 0.544, 0.750)
Er (0.500, 0.044, 0.750)
Er (0.500, 0.956, 0.250)
Cu (0.000, 0.299, 0.750)
Cu (0.000, 0.701, 0.250)
Cu (0.500, 0.201, 0.250)
Cu (0.500, 0.799, 0.750)

- ΔE to the lowest computed polymorph: 48 meV per atom
- Energy of formation from the pure elements: -0.0622 eV per atom

=====

Computed, not measured: crystalline Dy2ErCu at its relaxed geometry at the GGA-PBE level of DFT.

a = 3.553 Å, b = 3.553 Å, c = 29.661 Å
α = 90.00°, β = 90.00°, γ = 120.00°
Element x y z (fractional)
Dy (0.000, 0.000, 0.236)
Dy (0.000, 0.000, 0.764)
Dy (0.333, 0.667, 0.431)
Dy (0.333, 0.667, 0.903)
Dy (0.667, 0.333, 0.097)
Dy (0.667, 0.333, 0.569)
Er (0.000, 0.000, 0.000)
Er (0.333, 0.667, 0.667)
Er (0.667, 0.333, 0.333)
Cu (0.000, 0.000, 0.500)
Cu (0.333, 0.667, 0.167)
Cu (0.667, 0.333, 0.833)

- ΔE to the lowest computed polymorph: 144 meV per atom
- Energy of formation from the pure elements: 0.0341 eV per atom